No. 1
VASP calculation (PBE-GGA) on crystalline YTc2Pt at its relaxed geometry.

Geometry as POSCAR:
```
YTc2Pt
1.0
5.562 0.000 0.008
-2.865 4.767 0.008
0.530 0.937 2.610
Pt Tc Y
1 2 1
Direct
0.000 0.500 0.500
0.000 0.000 0.000
0.500 0.500 0.000
0.500 0.000 0.500
```

Energy relative to the lowest polymorph listed for this composition   0.280 eV/atom
Uncorrected energy   -32.9 eV/cell
Size of the total moment   0.0000 μB per atom
Formation enthalpy at 0 K   0.096 eV per atom

No. 2
VASP calculation (PBE-GGA) on crystalline YTc2Pt at its relaxed geometry.

Geometry as POSCAR:
```
YTc2Pt
1.0
-5.175 -0.454 -0.415
-2.491 -0.477 4.553
3.575 3.273 -1.916
Pt Tc Y
1 2 1
Direct
0.750 0.250 0.500
0.000 0.000 0.000
0.500 0.500 0.000
0.250 0.750 0.500
```

Energy relative to the lowest polymorph listed for this composition   0.226 eV/atom
Uncorrected energy   -33.1 eV/cell
Size of the total moment   0.0000 μB per atom
Formation enthalpy at 0 K   0.042 eV per atom

No. 3
VASP calculation (PBE-GGA) on crystalline YTc3Pt at its relaxed geometry.

Geometry as POSCAR:
```
YTc3Pt
1.0
-0.326 0.103 -4.772
1.911 -4.380 -0.225
-4.374 -1.921 0.257
Y Tc Pt
1 3 1
Direct
0.500 0.500 0.500
0.000 0.500 0.000
0.000 0.000 0.500
0.500 0.000 0.000
0.000 0.000 0.000
```

Energy relative to the lowest polymorph listed for this composition   0.000 eV/atom
Uncorrected energy   -37.3 eV/cell
Size of the total moment   0.0000 μB per atom
Formation enthalpy at 0 K   1.255 eV per atom

No. 4
VASP calculation (PBE-GGA) on crystalline YTc4Pt at its relaxed geometry.

Geometry as POSCAR:
```
YTc4Pt
1.0
0.627 -0.797 5.142
-1.638 3.609 3.430
-4.167 -0.964 3.030
Y Tc Pt
1 4 1
Direct
0.750 0.750 0.750
0.877 0.374 0.374
0.374 0.374 0.877
0.374 0.877 0.374
0.374 0.374 0.374
0.000 0.000 0.000
```

Uncorrected energy   -53.7 eV/cell
Size of the total moment   0.0000 μB per atom
Formation enthalpy at 0 K   0.048 eV per atom